(1)
# NbZnCuC2

A relaxed NbZnCuC2 crystal (GGA-PBE, the Alexandria database).

Geometry as CIF:
```
data_NbZnCuC2
_symmetry_space_group_name_H-M 'P 4/m m m'
_symmetry_Int_Tables_number 123
_symmetry_space_group_name_Hall '-P 4 2'
_cell_length_a 3.7712
_cell_length_b 3.7712
_cell_length_c 4.9269
_cell_angle_alpha 90.00
_cell_angle_beta 90.00
_cell_angle_gamma 90.00
loop_
_atom_site_label
_atom_site_fract_x
_atom_site_fract_y
_atom_site_fract_z
Nb1 0.0000 0.0000 0.0000
Zn1 0.5000 0.5000 0.0000
Cu1 0.0000 0.0000 0.5000
C1 0.0000 0.5000 0.5000
```

Calculated formation energy   1.986 eV per atom

(2)
# MoAsSe2N

A relaxed MoAsSe2N crystal (GGA-PBE, the Alexandria database).

Geometry as CIF:
```
data_MoAsSe2N
_symmetry_space_group_name_H-M 'P 4/m m m'
_symmetry_Int_Tables_number 123
_symmetry_space_group_name_Hall '-P 4 2'
_cell_length_a 5.0840
_cell_length_b 5.0840
_cell_length_c 3.7740
_cell_angle_alpha 90.00
_cell_angle_beta 90.00
_cell_angle_gamma 90.00
loop_
_atom_site_label
_atom_site_fract_x
_atom_site_fract_y
_atom_site_fract_z
Mo1 0.0000 0.0000 0.0000
As1 0.5000 0.5000 0.5000
Se1 0.0000 0.5000 0.0000
N1 0.0000 0.0000 0.5000
```

Raw formation energy   0.37 eV per atom
Distance to the lowest polymorph of the same formula   0.0000 eV/atom

no.,total magnetization (μB/f.u.),N(E_F) (states/eV/f.u.)
1,0.000,2.90
2,0.001,4.03